[1]
LiZnIn2 | PBE | relaxed

The structure belongs to space group I-42d (No. 122); the cell edges are 7.905, 7.905 and 6.026 Å and the angles 90.00°, 90.00° and 90.00°. The inequivalent atoms are Li at (0.000, 0.000, 0.000), Zn at (0.000, 0.000, 0.500) and In at (0.225, 0.750, 0.625).

Its formation energy is 0.043 eV per atom. As for the total energy: -2.1234 eV/atom.

[2]
PmPrCl6 | PBE | relaxed

The structure belongs to space group R-3 (No. 148, hexagonal axes); the cell edges are 6.9288, 6.9288 and 19.1297 Å and the angles 90.00°, 90.00° and 120.00°. The inequivalent atoms are Pm at (0.0000, 0.0000, 0.0000), Pr at (0.0000, 0.0000, 0.5000) and Cl at (0.0031, 0.6509, 0.7493).

As for the total energy: -4.8158 eV/atom. The value obtained for the energy relative to the lowest polymorph listed for this composition is 0.00 eV/f.u.

[3]
La2Ce3NdAs6 | PBE | relaxed

The structure belongs to space group C2/m (No. 12); the cell edges are 7.411, 12.836 and 7.418 Å and the angles 90.00°, 109.46° and 90.00°. The inequivalent atoms are La at (0.000, 0.166, 0.000), Ce at (0.000, 0.000, 0.500), Ce at (0.000, 0.333, 0.500), Nd at (0.000, 0.500, 0.000), As at (0.244, 0.500, 0.740) and As at (0.248, 0.165, 0.741).

Its formation energy is -1.490 eV per atom. As for the total energy: -6.5168 eV/atom.

[4]
ZrAgPd3 | PBE | relaxed

The structure belongs to space group Cmcm (No. 63); the cell edges are 7.073, 10.902 and 5.054 Å and the angles 90.00°, 90.00° and 90.00°. The inequivalent atoms are Zr at (0.000, 0.143, 0.250), Ag at (0.000, 0.500, 0.000), Pd at (0.000, 0.286, 0.750) and Pd at (0.187, 0.078, 0.750).

Its formation energy is -0.077 eV per atom. As for the total energy: -5.4731 eV/atom. The value obtained for the energy relative to the lowest polymorph listed for this composition is 0.00 eV/f.u.

[5]
ZnCrNi2 | PBE | relaxed

The structure belongs to space group P4mm (No. 99); the cell edges are 2.865, 2.865 and 5.767 Å and the angles 90.00°, 90.00° and 90.00°. The inequivalent atoms are Zn at (0.000, 0.000, 0.000), Cr at (0.500, 0.500, 0.290), Ni at (0.000, 0.000, 0.506) and Ni at (0.500, 0.500, 0.751).

Its formation energy is 0.107 eV per atom. As for the total energy: -5.5078 eV/atom.

[6]
Li2In5Bi | PBE | relaxed

The structure belongs to space group Pbam (No. 55); the cell edges are 6.690, 13.245 and 4.490 Å and the angles 90.00°, 90.00° and 90.00°. The inequivalent atoms are Li at (0.225, 0.122, 0.000), In at (0.000, 0.500, 0.500), In at (0.044, 0.748, 0.500), In at (0.214, 0.367, 0.000) and Bi at (0.000, 0.000, 0.500).

Its formation energy is -0.138 eV per atom. As for the total energy: -2.8134 eV/atom.